1.
# Cd2CoNiO4

A geometry-optimized Cd2CoNiO4 structure (PBE with a Hubbard U, Alexandria).

Unit cell a=5.5307 b=3.1805 c=5.5807 alpha=90.00 beta=109.35 gamma=90.00
Positions (direct):
Cd (0.0000, 0.0000, 0.0000)
Cd (0.5000, 0.5000, 0.0000)
Co (0.0000, 0.5000, 0.5000)
Ni (0.5000, 0.0000, 0.5000)
O (0.2406, 0.0000, 0.7166)
O (0.2635, 0.5000, 0.2815)
O (0.7365, 0.5000, 0.7185)
O (0.7594, 0.0000, 0.2834)

Calculated values
Space group: P2/m
DFT total energy (eV/f.u.): -37.1

2.
# CdCo3Ni2O6

A geometry-optimized CdCo3Ni2O6 structure (PBE with a Hubbard U, Alexandria).

Unit cell a=7.9781 b=7.9781 c=5.7427 alpha=108.79 beta=108.79 gamma=20.94
Positions (direct):
Cd (0.0000, 0.0000, 0.0000)
Co (0.0000, 0.0000, 0.5000)
Co (0.3284, 0.3284, 0.1886)
Co (0.6716, 0.6716, 0.8114)
Ni (0.3390, 0.3390, 0.6890)
Ni (0.6610, 0.6610, 0.3110)
O (0.1269, 0.1269, 0.5083)
O (0.1921, 0.1921, 0.1092)
O (0.4638, 0.4638, 0.2644)
O (0.5362, 0.5362, 0.7356)
O (0.8079, 0.8079, 0.8908)
O (0.8731, 0.8731, 0.4917)

Calculated values
Space group: C2/m
DFT total energy (eV/f.u.): -59.9

3.
# Cd2CoNi2O6

A geometry-optimized Cd2CoNi2O6 structure (PBE with a Hubbard U, Alexandria).

Unit cell a=5.1764 b=5.1764 c=5.6258 alpha=99.01 beta=99.01 gamma=118.40
Positions (direct):
Cd (0.1705, 0.8295, 0.0000)
Cd (0.8295, 0.1705, 0.0000)
Co (0.0000, 0.0000, 0.5000)
Ni (0.3373, 0.6627, 0.5000)
Ni (0.6627, 0.3373, 0.5000)
O (0.0529, 0.3713, 0.7011)
O (0.2393, 0.2393, 0.3038)
O (0.3713, 0.0529, 0.7011)
O (0.6287, 0.9471, 0.2989)
O (0.7607, 0.7607, 0.6962)
O (0.9471, 0.6287, 0.2989)

Calculated values
Space group: C2/m
DFT total energy (eV/f.u.): -51.8

The lowest DFT total energy belongs to which entry?
CdCo3Ni2O6

DFT total energy of number 2 (CdCo3Ni2O6)?
-59.9 eV/f.u.